# 1
Below is a geometry-optimized KTlIn2 structure, with properties calculated at the PBE level.

magnetic moment = 0.0 μB/f.u.
offset from the most stable computed form = 0.126 eV/atom

Cell: 6.684 10.910 3.427 Å, 90.00 90.00 90.00°
Space group Cmmm (No. 65)
Symmetry-distinct sites (fractional):
K  0.000  0.000  0.000 [2 per cell]
Tl  0.000  0.500  0.000 [2 per cell]
In  0.250  0.250  0.500 [4 per cell]

=====

# 2
Below is a geometry-optimized K2TlIn structure, with properties calculated at the PBE level.

magnetic moment = 0.0 μB/f.u.
offset from the most stable computed form = 0.025 eV/atom

Cell: 13.717 4.050 6.225 Å, 90.00 115.35 90.00°
Space group Cm (No. 8)
Symmetry-distinct sites (fractional):
K  0.000  0.000  0.000 [2 per cell]
K  0.197  0.000  0.689 [2 per cell]
Tl  0.256  0.500  0.242 [2 per cell]
In  0.439  0.000  0.444 [2 per cell]

=====

# 3
Below is a geometry-optimized K2Tl5In4 structure, with properties calculated at the PBE level.

magnetic moment = 0.0 μB/f.u.

Cell: 13.040 7.134 10.030 Å, 90.00 128.86 90.00°
Space group C2/m (No. 12)
Symmetry-distinct sites (fractional):
K  0.064  0.000  0.255 [4 per cell]
Tl  0.000  0.500  0.000 [2 per cell]
Tl  0.171  0.226  0.674 [8 per cell]
In  0.082  0.500  0.370 [4 per cell]
In  0.220  0.500  0.960 [4 per cell]

=====

# 4
Below is a geometry-optimized K3TlIn8 structure, with properties calculated at the PBE level.

magnetic moment = 0.0 μB/f.u.

Cell: 6.4352 6.4352 31.2425 Å, 90.00 90.00 120.00°
Space group R3m (No. 160, hexagonal axes)
Symmetry-distinct sites (fractional):
K  0.0000  0.0000  0.0000 [3 per cell]
K  0.0000  0.0000  0.1253 [3 per cell]
K  0.0000  0.0000  0.5031 [3 per cell]
Tl  0.0000  0.0000  0.6282 [3 per cell]
In  0.0000  0.0000  0.3145 [3 per cell]
In  0.0000  0.0000  0.8114 [3 per cell]
In  0.0009  0.5004  0.0627 [9 per cell]
In  0.1670  0.3340  0.8975 [9 per cell]

=====

# 5
Below is a geometry-optimized K3Tl4In2 structure, with properties calculated at the PBE level.

magnetic moment = 0.0 μB/f.u.
offset from the most stable computed form = 0.000 eV/atom

Cell: 13.176 5.193 10.271 Å, 90.00 107.02 90.00°
Space group C2/m (No. 12)
Symmetry-distinct sites (fractional):
K  0.000  0.000  0.000 [2 per cell]
K  0.124  0.500  0.381 [4 per cell]
Tl  0.077  0.000  0.655 [4 per cell]
Tl  0.191  0.500  0.066 [4 per cell]
In  0.198  0.500  0.764 [4 per cell]

=====

# 6
Below is a geometry-optimized K2Tl12In structure, with properties calculated at the PBE level.

magnetic moment = 0.0 μB/f.u.

Cell: 7.100 7.100 20.568 Å, 90.00 90.00 90.00°
Space group P4/nbm (No. 125, origin choice 2)
Symmetry-distinct sites (fractional):
K  0.250  0.750  0.244 [4 per cell]
Tl  0.001  0.501  0.407 [8 per cell]
Tl  0.085  0.585  0.065 [8 per cell]
Tl  0.250  0.250  0.158 [4 per cell]
Tl  0.250  0.250  0.310 [4 per cell]
In  0.250  0.750  0.500 [2 per cell]

=====

# 7
Below is a geometry-optimized K3Tl4In2 structure, with properties calculated at the PBE level.

magnetic moment = 0.0 μB/f.u.
offset from the most stable computed form = 0.009 eV/atom

Cell: 12.225 5.415 10.181 Å, 90.00 114.44 90.00°
Space group C2/m (No. 12)
Symmetry-distinct sites (fractional):
K  0.000  0.000  0.000 [2 per cell]
K  0.188  0.500  0.642 [4 per cell]
Tl  0.007  0.000  0.350 [4 per cell]
Tl  0.226  0.500  0.068 [4 per cell]
In  0.065  0.500  0.240 [4 per cell]

=====

# 8
Below is a geometry-optimized K2Tl6In structure, with properties calculated at the PBE level.

magnetic moment = 0.0 μB/f.u.

Cell: 12.409 7.137 6.858 Å, 90.00 90.23 90.00°
Space group C2/m (No. 12)
Symmetry-distinct sites (fractional):
K  0.167  0.000  0.152 [4 per cell]
Tl  0.088  0.234  0.670 [8 per cell]
Tl  0.177  0.500  0.332 [4 per cell]
In  0.000  0.500  0.000 [2 per cell]

=====

# 9
Below is a geometry-optimized KTl4In2 structure, with properties calculated at the PBE level.

magnetic moment = 0.0 μB/f.u.
offset from the most stable computed form = 0.000 eV/atom

Cell: 10.480 8.591 6.067 Å, 90.00 124.81 90.00°
Space group C2/m (No. 12)
Symmetry-distinct sites (fractional):
K  0.000  0.000  0.000 [2 per cell]
Tl  0.191  0.191  0.691 [8 per cell]
In  0.001  0.500  0.751 [4 per cell]

=====

# 10
Below is a geometry-optimized KTlIn2 structure, with properties calculated at the PBE level.

magnetic moment = 0.0 μB/f.u.
offset from the most stable computed form = 0.000 eV/atom

Cell: 12.307 5.291 7.872 Å, 90.00 91.41 90.00°
Space group Cm (No. 8)
Symmetry-distinct sites (fractional):
K  0.000  0.000  0.000 [2 per cell]
K  0.162  0.000  0.499 [2 per cell]
Tl  0.201  0.500  0.197 [2 per cell]
Tl  0.374  0.500  0.509 [2 per cell]
In  0.207  0.500  0.802 [2 per cell]
In  0.292  0.000  0.976 [2 per cell]
In  0.441  0.000  0.298 [2 per cell]
In  0.463  0.000  0.693 [2 per cell]

=====

# 11
Below is a geometry-optimized K6Tl2In structure, with properties calculated at the PBE level.

magnetic moment = 0.0 μB/f.u.

Cell: 11.115 6.430 12.214 Å, 90.00 107.63 90.00°
Space group C2/m (No. 12)
Symmetry-distinct sites (fractional):
K  0.078  0.000  0.233 [4 per cell]
K  0.189  0.500  0.068 [4 per cell]
K  0.195  0.000  0.586 [4 per cell]
Tl  0.082  0.500  0.752 [4 per cell]
In  0.000  0.500  0.500 [2 per cell]

=====

Number 1: energy relative to the elements 8 kJ/mol of formula units, calculated total energy -0.163 Ry/atom, calculated volume 249.9 Å³ per cell. Number 2: energy relative to the elements -27 kJ/mol of formula units, calculated total energy -0.139 Ry/atom, calculated volume 312.5 Å³ per cell. Number 3: energy relative to the elements -16 kJ/mol of formula units, calculated total energy -0.168 Ry/atom, calculated volume 726.6 Å³ per cell. Number 4: energy relative to the elements -99 kJ/mol of formula units, calculated total energy -0.175 Ry/atom, calculated volume 1120.5 Å³ per cell. Number 5: energy relative to the elements -81 kJ/mol of formula units, calculated total energy -0.156 Ry/atom, calculated volume 672.0 Å³ per cell. Number 6: energy relative to the elements 7 kJ/mol of formula units, calculated total energy -0.163 Ry/atom, calculated volume 1036.8 Å³ per cell. Number 7: energy relative to the elements -73 kJ/mol of formula units, calculated total energy -0.155 Ry/atom, calculated volume 613.6 Å³ per cell. Number 8: energy relative to the elements -69 kJ/mol of formula units, calculated total energy -0.162 Ry/atom, calculated volume 607.3 Å³ per cell. Number 9: energy relative to the elements -26 kJ/mol of formula units, calculated total energy -0.171 Ry/atom, calculated volume 448.5 Å³ per cell. Number 10: energy relative to the elements -41 kJ/mol of formula units, calculated total energy -0.172 Ry/atom, calculated volume 512.4 Å³ per cell. Number 11: energy relative to the elements -60 kJ/mol of formula units, calculated total energy -0.120 Ry/atom, calculated volume 831.9 Å³ per cell.